[1]
{"formula": "DySiRh", "functional": "GGA-PBEsol", "state": "optimized geometry", "lattice": [[4.213, 0.000, 0.000], [0.000, 6.840, 0.000], [0.000, 0.000, 7.239]], "species": ["Rh", "Rh", "Rh", "Rh", "Si", "Si", "Si", "Si", "Dy", "Dy", "Dy", "Dy"], "frac_coords": [[0.250, 0.653, 0.570], [0.750, 0.347, 0.430], [0.250, 0.153, 0.930], [0.750, 0.847, 0.070], [0.750, 0.203, 0.105], [0.250, 0.797, 0.895], [0.750, 0.703, 0.395], [0.250, 0.297, 0.605], [0.250, 0.496, 0.188], [0.250, 0.996, 0.312], [0.750, 0.504, 0.812], [0.750, 0.004, 0.688]], "dos_at_fermi_per_ev_atom": 0.52, "e_form_raw_mev_per_atom": -1096, "space_group": "Pnma"}

***

[2]
{"formula": "PtPb5", "functional": "GGA-PBEsol", "state": "optimized geometry", "lattice": [[-1.680, -1.280, -2.739], [6.079, 0.242, -1.658], [-1.611, -6.930, 4.227]], "species": ["Pb", "Pb", "Pb", "Pb", "Pb", "Pt"], "frac_coords": [[0.330, 0.661, 0.753], [0.034, 0.069, 0.600], [0.694, 0.389, 0.389], [0.059, 0.117, 0.025], [0.355, 0.709, 0.178], [0.695, 0.389, 0.889]], "dos_at_fermi_per_ev_atom": 0.48, "space_group": "C2/m", "formation_energy_ev_per_atom": -0.022}

***

[3]
{"formula": "BPPd2", "functional": "GGA-PBEsol", "state": "optimized geometry", "lattice": [[4.099, 0.000, 0.000], [2.050, 3.550, 0.000], [2.050, 1.183, 3.347]], "species": ["Pd", "Pd", "B", "P"], "frac_coords": [[0.250, 0.250, 0.250], [0.750, 0.750, 0.750], [0.000, 0.000, 0.000], [0.500, 0.500, 0.500]], "dos_at_fermi_per_ev_atom": 0.50, "space_group": "Fm-3m", "formation_energy_ev_per_atom": 0.281}

***

[4]
{"formula": "BeRe2HgSb", "functional": "GGA-PBEsol", "state": "optimized geometry", "lattice": [[-2.481, 2.900, -1.872], [0.062, -2.338, -3.704], [-3.556, -2.189, 1.323]], "species": ["Re", "Re", "Hg", "Be", "Sb"], "frac_coords": [[0.000, 0.500, 0.000], [0.000, 0.000, 0.500], [0.500, 0.000, 0.000], [0.000, 0.000, 0.000], [0.500, 0.500, 0.500]], "dos_at_fermi_per_ev_atom": 1.08, "e_form_raw_mev_per_atom": 1106, "space_group": "P4/mmm"}

***

[5]
{"formula": "BaV2N4", "functional": "GGA-PBEsol", "state": "optimized geometry", "lattice": [[10.733, 0.000, 0.000], [0.000, 10.733, 0.000], [0.000, 0.000, 10.733]], "species": ["N", "N", "N", "N", "N", "N", "N", "N", "N", "N", "N", "N", "N", "N", "N", "N", "N", "N", "N", "N", "N", "N", "N", "N", "N", "N", "N", "N", "N", "N", "N", "N", "N", "N", "N", "N", "N", "N", "N", "N", "N", "N", "N", "N", "N", "N", "N", "N", "V", "V", "V", "V", "V", "V", "V", "V", "V", "V", "V", "V", "V", "V", "V", "V", "V", "V", "V", "V", "V", "V", "V", "V", "Ba", "Ba", "Ba", "Ba", "Ba", "Ba", "Ba", "Ba", "Ba", "Ba", "Ba", "Ba"], "frac_coords": [[0.774, 0.008, 0.415], [0.226, 0.508, 0.085], [0.123, 0.342, 0.262], [0.377, 0.658, 0.762], [0.508, 0.415, 0.726], [0.342, 0.238, 0.623], [0.738, 0.877, 0.658], [0.842, 0.238, 0.877], [0.585, 0.226, 0.992], [0.492, 0.915, 0.774], [0.877, 0.842, 0.238], [0.738, 0.623, 0.158], [0.492, 0.585, 0.274], [0.008, 0.085, 0.274], [0.658, 0.738, 0.877], [0.123, 0.158, 0.762], [0.623, 0.342, 0.238], [0.992, 0.585, 0.226], [0.377, 0.842, 0.262], [0.623, 0.158, 0.738], [0.508, 0.085, 0.226], [0.915, 0.774, 0.492], [0.658, 0.762, 0.377], [0.158, 0.762, 0.123], [0.262, 0.123, 0.342], [0.238, 0.877, 0.842], [0.238, 0.623, 0.342], [0.774, 0.492, 0.915], [0.762, 0.123, 0.158], [0.274, 0.008, 0.085], [0.262, 0.377, 0.842], [0.415, 0.774, 0.008], [0.085, 0.274, 0.008], [0.158, 0.738, 0.623], [0.085, 0.226, 0.508], [0.726, 0.992, 0.915], [0.992, 0.915, 0.726], [0.274, 0.492, 0.585], [0.585, 0.274, 0.492], [0.762, 0.377, 0.658], [0.842, 0.262, 0.377], [0.342, 0.262, 0.123], [0.915, 0.726, 0.992], [0.008, 0.415, 0.774], [0.877, 0.658, 0.738], [0.726, 0.508, 0.415], [0.415, 0.726, 0.508], [0.226, 0.992, 0.585], [0.155, 0.612, 0.195], [0.112, 0.305, 0.845], [0.845, 0.112, 0.305], [0.805, 0.655, 0.888], [0.388, 0.695, 0.345], [0.805, 0.845, 0.388], [0.345, 0.112, 0.195], [0.888, 0.695, 0.155], [0.655, 0.888, 0.805], [0.345, 0.388, 0.695], [0.655, 0.612, 0.305], [0.612, 0.305, 0.655], [0.695, 0.155, 0.888], [0.612, 0.195, 0.155], [0.305, 0.845, 0.112], [0.155, 0.888, 0.695], [0.695, 0.345, 0.388], [0.195, 0.345, 0.112], [0.845, 0.388, 0.805], [0.888, 0.805, 0.655], [0.305, 0.655, 0.612], [0.195, 0.155, 0.612], [0.112, 0.195, 0.345], [0.388, 0.805, 0.845], [0.500, 0.000, 0.500], [0.000, 0.500, 0.500], [0.875, 0.375, 0.125], [0.125, 0.625, 0.875], [0.375, 0.375, 0.375], [0.625, 0.625, 0.625], [0.125, 0.875, 0.375], [0.875, 0.125, 0.625], [0.000, 0.000, 0.000], [0.500, 0.500, 0.000], [0.375, 0.125, 0.875], [0.625, 0.875, 0.125]], "dos_at_fermi_per_ev_atom": 0.00, "e_form_raw_mev_per_atom": -1033, "space_group": "Pa-3"}

***

[6]
{"formula": "Re2As", "functional": "GGA-PBEsol", "state": "optimized geometry", "lattice": [[2.903, 0.000, 0.000], [0.000, 4.441, 0.000], [-1.452, 0.000, 6.912]], "species": ["As", "As", "Re", "Re", "Re", "Re"], "frac_coords": [[0.620, 0.750, 0.240], [0.380, 0.250, 0.760], [0.042, 0.250, 0.084], [0.958, 0.750, 0.916], [0.706, 0.250, 0.413], [0.294, 0.750, 0.587]], "dos_at_fermi_per_ev_atom": 0.56, "space_group": "Cmcm", "formation_energy_ev_per_atom": 0.332}

***

[7]
{"formula": "BaAsN", "functional": "GGA-PBEsol", "state": "optimized geometry", "lattice": [[5.215, 0.000, 0.000], [-2.607, 4.516, 0.000], [0.000, 0.000, 6.501]], "species": ["N", "N", "As", "As", "Ba", "Ba"], "frac_coords": [[0.000, 0.000, 0.411], [0.000, 0.000, 0.589], [0.667, 0.333, 0.191], [0.667, 0.333, 0.809], [0.333, 0.667, 0.500], [0.000, 0.000, 0.000]], "dos_at_fermi_per_ev_atom": 0.06, "e_form_raw_mev_per_atom": -709, "space_group": "P-6m2"}

***

[8]
{"formula": "TlHgPb2", "functional": "GGA-PBEsol", "state": "optimized geometry", "lattice": [[3.443, 0.000, 0.000], [1.722, 2.982, 0.000], [1.722, 0.994, 10.821]], "species": ["Hg", "Tl", "Pb", "Pb"], "frac_coords": [[0.249, 0.249, 0.253], [0.504, 0.504, 0.487], [0.750, 0.750, 0.749], [0.996, 0.996, 0.011]], "dos_at_fermi_per_ev_atom": 0.47, "space_group": "R3m", "formation_energy_ev_per_atom": 0.005}

***

[9]
{"formula": "CrRhSN2", "functional": "GGA-PBEsol", "state": "optimized geometry", "lattice": [[-1.947, -1.189, 2.721], [2.754, -1.939, 1.124], [1.493, 3.672, 2.674]], "species": ["N", "N", "Cr", "S", "Rh"], "frac_coords": [[0.000, 0.500, 0.000], [0.500, 0.000, 0.000], [0.000, 0.000, 0.000], [0.000, 0.000, 0.500], [0.500, 0.500, 0.500]], "dos_at_fermi_per_ev_atom": 0.63, "e_form_raw_mev_per_atom": 559, "space_group": "P4/mmm"}

***

[10]
{"formula": "BaCoPO2", "functional": "GGA-PBEsol", "state": "optimized geometry", "lattice": [[-1.105, -3.860, -1.251], [3.885, -0.632, -1.481], [1.864, -2.460, 5.940]], "species": ["O", "O", "P", "Co", "Ba"], "frac_coords": [[0.500, 0.000, 0.000], [0.000, 0.500, 0.000], [0.000, 0.000, 0.500], [0.500, 0.500, 0.500], [0.000, 0.000, 0.000]], "dos_at_fermi_per_ev_atom": 1.02, "e_form_raw_mev_per_atom": 814, "space_group": "P4/mmm"}

***

[11]
{"formula": "In2Se", "functional": "GGA-PBEsol", "state": "optimized geometry", "lattice": [[-2.401, 2.981, 0.613], [-0.035, -3.647, 5.345], [4.901, 3.457, 2.391]], "species": ["In", "In", "In", "In", "Se", "Se"], "frac_coords": [[0.852, 0.703, 0.410], [0.148, 0.297, 0.910], [0.455, 0.910, 0.782], [0.545, 0.090, 0.282], [0.813, 0.626, 0.976], [0.187, 0.374, 0.476]], "dos_at_fermi_per_ev_atom": 0.37, "e_form_raw_mev_per_atom": -274, "space_group": "Cmc2_1"}

***

[12]
{"formula": "Ca2ZrBiH", "functional": "GGA-PBEsol", "state": "optimized geometry", "lattice": [[5.532, 0.000, 0.000], [0.000, 6.019, 0.000], [0.000, 0.000, 6.019]], "species": ["H", "Zr", "Ca", "Ca", "Bi"], "frac_coords": [[0.500, 0.500, 0.500], [0.500, 0.000, 0.000], [0.000, 0.000, 0.500], [0.000, 0.500, 0.000], [0.000, 0.000, 0.000]], "dos_at_fermi_per_ev_atom": 1.20, "space_group": "P4/mmm", "total_energy_ev_per_atom": -3.3822}